# Cd2AuCl, optimized geometry, DFT PBE-GGA
# relative energy among the computed polymorphs: 0.4781 eV per atom
# crystal system: cubic
# raw total energy: -1.63 eV per atom
# uncorrected formation energy: 0.112 eV per atom
data_Cd2AuCl
_chemical_formula_sum 'Cd2 Au1 Cl1'
_cell_length_a 5.047
_cell_length_b 5.047
_cell_length_c 5.047
_cell_angle_alpha 60.00
_cell_angle_beta 60.00
_cell_angle_gamma 60.00
_symmetry_space_group_name_H-M 'P 1'
_symmetry_Int_Tables_number 1
loop_
_symmetry_equiv_pos_as_xyz
'x,y,z'
loop_
_atom_site_label
_atom_site_fract_x
_atom_site_fract_y
_atom_site_fract_z
Cd1 0.000 0.000 0.000
Cd2 0.250 0.250 0.250
Au1 0.500 0.500 0.500
Cl1 0.750 0.750 0.750

# CdAu2Cl6, optimized geometry, DFT PBE-GGA
# crystal system: monoclinic
# raw total energy: -2.50 eV per atom
# uncorrected formation energy: -0.441 eV per atom
data_CdAu2Cl6
_chemical_formula_sum 'Cd2 Au4 Cl12'
_cell_length_a 9.155
_cell_length_b 9.155
_cell_length_c 6.939
_cell_angle_alpha 102.05
_cell_angle_beta 102.05
_cell_angle_gamma 87.35
_symmetry_space_group_name_H-M 'P 1'
_symmetry_Int_Tables_number 1
loop_
_symmetry_equiv_pos_as_xyz
'x,y,z'
loop_
_atom_site_label
_atom_site_fract_x
_atom_site_fract_y
_atom_site_fract_z
Cd1 0.080 0.920 0.750
Cd2 0.920 0.080 0.250
Au1 0.185 0.344 0.508
Au2 0.344 0.185 0.008
Au3 0.656 0.815 0.992
Au4 0.815 0.656 0.492
Cl1 0.012 0.194 0.652
Cl2 0.035 0.643 0.754
Cl3 0.194 0.012 0.152
Cl4 0.347 0.391 0.285
Cl5 0.357 0.965 0.746
Cl6 0.391 0.347 0.785
Cl7 0.609 0.653 0.215
Cl8 0.643 0.035 0.254
Cl9 0.653 0.609 0.715
Cl10 0.806 0.988 0.848
Cl11 0.965 0.357 0.246
Cl12 0.988 0.806 0.348

# CdAuCl6, optimized geometry, DFT PBE-GGA
# relative energy among the computed polymorphs: 0.0000 eV per atom
# crystal system: monoclinic
# raw total energy: -2.37 eV per atom
# uncorrected formation energy: -0.458 eV per atom
data_CdAuCl6
_chemical_formula_sum 'Cd1 Au1 Cl6'
_cell_length_a 6.461
_cell_length_b 6.461
_cell_length_c 7.573
_cell_angle_alpha 101.49
_cell_angle_beta 101.49
_cell_angle_gamma 119.13
_symmetry_space_group_name_H-M 'P 1'
_symmetry_Int_Tables_number 1
loop_
_symmetry_equiv_pos_as_xyz
'x,y,z'
loop_
_atom_site_label
_atom_site_fract_x
_atom_site_fract_y
_atom_site_fract_z
Cd1 0.000 0.000 0.000
Au1 0.000 0.000 0.500
Cl1 0.120 0.823 0.705
Cl2 0.177 0.880 0.295
Cl3 0.429 0.429 0.139
Cl4 0.571 0.571 0.861
Cl5 0.823 0.120 0.705
Cl6 0.880 0.177 0.295

- Among the records above, which one has the lowest uncorrected formation energy?
  CdAuCl6

- Number 3 is which compound?
  CdAuCl6

Copy entry 2 word for word.
# CdAu2Cl6, optimized geometry, DFT PBE-GGA
# crystal system: monoclinic
# raw total energy: -2.50 eV per atom
# uncorrected formation energy: -0.441 eV per atom
data_CdAu2Cl6
_chemical_formula_sum 'Cd2 Au4 Cl12'
_cell_length_a 9.155
_cell_length_b 9.155
_cell_length_c 6.939
_cell_angle_alpha 102.05
_cell_angle_beta 102.05
_cell_angle_gamma 87.35
_symmetry_space_group_name_H-M 'P 1'
_symmetry_Int_Tables_number 1
loop_
_symmetry_equiv_pos_as_xyz
'x,y,z'
loop_
_atom_site_label
_atom_site_fract_x
_atom_site_fract_y
_atom_site_fract_z
Cd1 0.080 0.920 0.750
Cd2 0.920 0.080 0.250
Au1 0.185 0.344 0.508
Au2 0.344 0.185 0.008
Au3 0.656 0.815 0.992
Au4 0.815 0.656 0.492
Cl1 0.012 0.194 0.652
Cl2 0.035 0.643 0.754
Cl3 0.194 0.012 0.152
Cl4 0.347 0.391 0.285
Cl5 0.357 0.965 0.746
Cl6 0.391 0.347 0.785
Cl7 0.609 0.653 0.215
Cl8 0.643 0.035 0.254
Cl9 0.653 0.609 0.715
Cl10 0.806 0.988 0.848
Cl11 0.965 0.357 0.246
Cl12 0.988 0.806 0.348

- Which of these has the lowest raw total energy?
  CdAu2Cl6